# 1
Cu2HgOs | PBE-GGA | relaxed

Structure (CIF):
```
data_Cu2HgOs
_cell_length_a 2.688
_cell_length_b 4.264
_cell_length_c 5.357
_cell_angle_alpha 90.00
_cell_angle_beta 104.53
_cell_angle_gamma 90.00
_space_group_name_H-M_alt 'P 1 m 1'
_space_group_IT_number 6
_space_group_name_Hall 'P -2y'
loop_
_atom_site_label
_atom_site_fract_x
_atom_site_fract_y
_atom_site_fract_z
Cu1 0.000 0.000 0.000
Cu2 0.128 0.500 0.262
Hg1 0.743 0.000 0.491
Os1 0.405 0.500 0.814
```

## Properties
- D(E_F): 0.7056 states/eV/atom
- Formation energy from the elements: 0.524 eV/atom
- Theoretical density: 14.47 g/cm3
- E_tot: -4.41 eV/atom

***

# 2
Cu2HgOs | PBE-GGA | relaxed

Structure (CIF):
```
data_Cu2HgOs
_cell_length_a 4.152
_cell_length_b 4.152
_cell_length_c 3.392
_cell_angle_alpha 90.00
_cell_angle_beta 90.00
_cell_angle_gamma 90.00
_space_group_name_H-M_alt 'P 4/m m m'
_space_group_IT_number 123
_space_group_name_Hall '-P 4 2'
loop_
_atom_site_label
_atom_site_fract_x
_atom_site_fract_y
_atom_site_fract_z
Cu1 0.000 0.500 0.000
Hg1 0.000 0.000 0.500
Os1 0.500 0.500 0.500
```

## Properties
- D(E_F): 0.4168 states/eV/atom
- Formation energy from the elements: 0.540 eV/atom
- Theoretical density: 14.71 g/cm3
- E_tot: -4.39 eV/atom

***

# 3
Cu2HgOs | PBE-GGA | relaxed

Structure (CIF):
```
data_Cu2HgOs
_cell_length_a 2.827
_cell_length_b 4.683
_cell_length_c 9.271
_cell_angle_alpha 90.00
_cell_angle_beta 90.00
_cell_angle_gamma 90.00
_space_group_name_H-M_alt 'C m m 2'
_space_group_IT_number 35
_space_group_name_Hall 'C 2 -2'
loop_
_atom_site_label
_atom_site_fract_x
_atom_site_fract_y
_atom_site_fract_z
Cu1 0.000 0.000 0.000
Cu2 0.000 0.500 0.218
Hg1 0.000 0.000 0.482
Os1 0.000 0.500 0.769
```

## Properties
- D(E_F): 0.5081 states/eV/atom
- Formation energy from the elements: 0.538 eV/atom
- Theoretical density: 14.01 g/cm3
- E_tot: -4.39 eV/atom

***

# 4
Cu2HgOs | PBE-GGA | relaxed

Structure (CIF):
```
data_Cu2HgOs
_cell_length_a 2.7835
_cell_length_b 2.7835
_cell_length_c 26.9465
_cell_angle_alpha 90.00
_cell_angle_beta 90.00
_cell_angle_gamma 120.00
_space_group_name_H-M_alt 'R -3 m'
_space_group_IT_number 166
_space_group_name_Hall '-R 3 2"'
loop_
_atom_site_label
_atom_site_fract_x
_atom_site_fract_y
_atom_site_fract_z
Cu1 0.0000 0.0000 0.2442
Hg1 0.0000 0.0000 0.0000
Os1 0.0000 0.0000 0.5000
```

## Properties
- D(E_F): 0.3693 states/eV/atom
- Formation energy from the elements: 0.379 eV/atom
- Theoretical density: 14.27 g/cm3
- E_tot: -4.55 eV/atom

***

# 5
Cu2HgOs | PBE-GGA | relaxed

Structure (CIF):
```
data_Cu2HgOs
_cell_length_a 2.696
_cell_length_b 3.891
_cell_length_c 5.736
_cell_angle_alpha 90.00
_cell_angle_beta 90.89
_cell_angle_gamma 90.00
_space_group_name_H-M_alt 'P 1 2/m 1'
_space_group_IT_number 10
_space_group_name_Hall '-P 2y'
loop_
_atom_site_label
_atom_site_fract_x
_atom_site_fract_y
_atom_site_fract_z
Cu1 0.002 0.000 0.218
Hg1 0.500 0.500 0.500
Os1 0.500 0.500 0.000
```

## Properties
- D(E_F): 0.8366 states/eV/atom
- Formation energy from the elements: 0.487 eV/atom
- Theoretical density: 14.29 g/cm3
- E_tot: -4.44 eV/atom

***

# 6
CuHgOs | PBE-GGA | relaxed

Structure (CIF):
```
data_CuHgOs
_cell_length_a 2.908
_cell_length_b 4.723
_cell_length_c 14.046
_cell_angle_alpha 90.00
_cell_angle_beta 90.00
_cell_angle_gamma 90.00
_space_group_name_H-M_alt 'F m m 2'
_space_group_IT_number 42
_space_group_name_Hall 'F 2 -2'
loop_
_atom_site_label
_atom_site_fract_x
_atom_site_fract_y
_atom_site_fract_z
Cu1 0.000 0.000 0.000
Hg1 0.000 0.000 0.668
Os1 0.000 0.000 0.350
```

## Properties
- D(E_F): 0.9162 states/eV/atom
- Formation energy from the elements: 0.683 eV/atom
- Theoretical density: 15.64 g/cm3
- E_tot: -4.53 eV/atom

***

# 7
Cu2HgOs | PBE-GGA | relaxed

Structure (CIF):
```
data_Cu2HgOs
_cell_length_a 2.782
_cell_length_b 4.792
_cell_length_c 9.204
_cell_angle_alpha 90.00
_cell_angle_beta 90.00
_cell_angle_gamma 90.00
_space_group_name_H-M_alt 'I m m m'
_space_group_IT_number 71
_space_group_name_Hall '-I 2 2'
loop_
_atom_site_label
_atom_site_fract_x
_atom_site_fract_y
_atom_site_fract_z
Cu1 0.000 0.000 0.240
Hg1 0.000 0.500 0.000
Os1 0.000 0.500 0.500
```

## Properties
- D(E_F): 0.5124 states/eV/atom
- Formation energy from the elements: 0.599 eV/atom
- Theoretical density: 14.02 g/cm3
- E_tot: -4.33 eV/atom

***

# 8
CuHgOs | PBE-GGA | relaxed

Structure (CIF):
```
data_CuHgOs
_cell_length_a 2.811
_cell_length_b 2.811
_cell_length_c 11.985
_cell_angle_alpha 90.00
_cell_angle_beta 90.00
_cell_angle_gamma 90.00
_space_group_name_H-M_alt 'I 4 m m'
_space_group_IT_number 107
_space_group_name_Hall 'I 4 -2'
loop_
_atom_site_label
_atom_site_fract_x
_atom_site_fract_y
_atom_site_fract_z
Cu1 0.000 0.000 0.000
Hg1 0.000 0.000 0.673
Os1 0.000 0.000 0.357
```

## Properties
- D(E_F): 1.1014 states/eV/atom
- Formation energy from the elements: 0.687 eV/atom
- Theoretical density: 15.93 g/cm3
- E_tot: -4.52 eV/atom

***

# 9
Cu4HgOs | PBE-GGA | relaxed

Structure (CIF):
```
data_Cu4HgOs
_cell_length_a 6.892
_cell_length_b 6.892
_cell_length_c 6.892
_cell_angle_alpha 90.00
_cell_angle_beta 90.00
_cell_angle_gamma 90.00
_space_group_name_H-M_alt 'F -4 3 m'
_space_group_IT_number 216
_space_group_name_Hall 'F -4 2 3'
loop_
_atom_site_label
_atom_site_fract_x
_atom_site_fract_y
_atom_site_fract_z
Cu1 0.124 0.124 0.376
Hg1 0.000 0.000 0.000
Os1 0.250 0.250 0.750
```

## Properties
- D(E_F): 0.3234 states/eV/atom
- Formation energy from the elements: 0.438 eV/atom
- Theoretical density: 13.09 g/cm3
- E_tot: -4.22 eV/atom

***

# 10
Cu2HgOs | PBE-GGA | relaxed

Structure (CIF):
```
data_Cu2HgOs
_cell_length_a 2.750
_cell_length_b 2.750
_cell_length_c 7.944
_cell_angle_alpha 90.00
_cell_angle_beta 90.00
_cell_angle_gamma 90.00
_space_group_name_H-M_alt 'P 4/m m m'
_space_group_IT_number 123
_space_group_name_Hall '-P 4 2'
loop_
_atom_site_label
_atom_site_fract_x
_atom_site_fract_y
_atom_site_fract_z
Cu1 0.000 0.000 0.227
Hg1 0.500 0.500 0.500
Os1 0.500 0.500 0.000
```

## Properties
- D(E_F): 0.8932 states/eV/atom
- Formation energy from the elements: 0.448 eV/atom
- Theoretical density: 14.32 g/cm3
- E_tot: -4.48 eV/atom

***

# 11
Cu2HgOs | PBE-GGA | relaxed

Structure (CIF):
```
data_Cu2HgOs
_cell_length_a 8.934
_cell_length_b 2.738
_cell_length_c 5.060
_cell_angle_alpha 90.00
_cell_angle_beta 99.57
_cell_angle_gamma 90.00
_space_group_name_H-M_alt 'C 1 2/m 1'
_space_group_IT_number 12
_space_group_name_Hall '-C 2y'
loop_
_atom_site_label
_atom_site_fract_x
_atom_site_fract_y
_atom_site_fract_z
Cu1 0.244 0.000 0.212
Hg1 0.000 0.000 0.500
Os1 0.000 0.500 0.000
```

## Properties
- D(E_F): 0.5654 states/eV/atom
- Formation energy from the elements: 0.530 eV/atom
- Theoretical density: 14.09 g/cm3
- E_tot: -4.40 eV/atom

***

# 12
Cu2HgOs | PBE-GGA | relaxed

Structure (CIF):
```
data_Cu2HgOs
_cell_length_a 4.044
_cell_length_b 4.044
_cell_length_c 7.237
_cell_angle_alpha 90.00
_cell_angle_beta 90.00
_cell_angle_gamma 90.00
_space_group_name_H-M_alt 'I 4/m m m'
_space_group_IT_number 139
_space_group_name_Hall '-I 4 2'
loop_
_atom_site_label
_atom_site_fract_x
_atom_site_fract_y
_atom_site_fract_z
Cu1 0.000 0.500 0.250
Hg1 0.000 0.000 0.000
Os1 0.000 0.000 0.500
```

## Properties
- D(E_F): 1.2195 states/eV/atom
- Formation energy from the elements: 0.644 eV/atom
- Theoretical density: 14.53 g/cm3
- E_tot: -4.29 eV/atom